A plane-wave DFT calculation with PBE was carried out for a relaxed LiCa2Ga4Pd3 crystal.

Lattice parameters (Å, degrees): 4.389 4.389 10.113 90.00 90.00 90.00
Fractional positions:
Pd: 0.000 0.000 0.500
Ca: 0.000 0.500 0.751
Ca: 0.500 0.000 0.249
Ga: 0.500 0.000 0.624
Ga: 0.000 0.000 0.000
Pd: 0.500 0.000 0.868
Ga: 0.500 0.500 0.000
Pd: 0.000 0.500 0.132
Li: 0.500 0.500 0.500
Ga: 0.000 0.500 0.376

Results
Space group: P-4m2
Formation energy from the elements: -61 kJ/mol of atoms
Crystal system: tetragonal

A plane-wave DFT calculation with PBE was carried out for a relaxed LaNpTe3Pd crystal.

Lattice parameters (Å, degrees): 4.342 8.608 9.864 102.56 90.00 90.00
Fractional positions:
Te: 0.750 0.253 0.520
Te: 0.750 0.909 0.128
La: 0.250 0.172 0.274
Te: 0.750 0.409 0.162
Np: 0.250 0.669 0.167
Te: 0.250 0.591 0.838
Np: 0.750 0.331 0.833
Te: 0.250 0.747 0.480
La: 0.750 0.828 0.726
Te: 0.250 0.091 0.872
Pd: 0.750 0.917 0.407
Pd: 0.250 0.083 0.593

Results
Space group: P2_1/m
Crystal system: monoclinic
Uncorrected formation energy: -0.993 eV/atom

- Number 1 is which compound?
  LiCa2Ga4Pd3